# Tb8CeSm3 | the Alexandria database | PBE | optimized geometry
data_Tb8CeSm3
_cell_length_a 8.688
_cell_length_b 8.688
_cell_length_c 11.336
_cell_angle_alpha 90.00
_cell_angle_beta 90.00
_cell_angle_gamma 90.00
_space_group_name_H-M_alt 'I -4 2 m'
_space_group_IT_number 121
_space_group_name_Hall 'I -4 2'
loop_
_atom_site_label
_atom_site_fract_x
_atom_site_fract_y
_atom_site_fract_z
_atom_site_occupancy
Tb1 0.124 0.124 0.262 1
Tb2 0.234 0.234 0.526 1
Ce1 0.000 0.000 0.500 1
Sm1 0.000 0.000 0.000 1
Sm2 0.000 0.500 0.250 1
# - Final energy: -4.168 eV per atom
# - DOS at the Fermi energy: 38.32 states/eV/cell
# - ΔE_f: 0.59 eV per atom

# Zn4BiAu5 | the Alexandria database | PBE | optimized geometry
data_Zn4BiAu5
_cell_length_a 3.273
_cell_length_b 3.273
_cell_length_c 16.717
_cell_angle_alpha 90.00
_cell_angle_beta 90.00
_cell_angle_gamma 90.00
_space_group_name_H-M_alt 'P 4/m m m'
_space_group_IT_number 123
_space_group_name_Hall '-P 4 2'
loop_
_atom_site_label
_atom_site_fract_x
_atom_site_fract_y
_atom_site_fract_z
_atom_site_occupancy
Zn1 0.000 0.000 0.092 1
Zn2 0.000 0.000 0.276 1
Bi1 0.000 0.000 0.500 1
Au1 0.500 0.500 0.000 1
Au2 0.500 0.500 0.183 1
Au3 0.500 0.500 0.362 1
# - Final energy: -2.683 eV per atom
# - DOS at the Fermi energy: 2.09 states/eV/cell
# - ΔE_f: -0.15 eV per atom

# Cs3Hg12H5 | the Alexandria database | PBE | optimized geometry
data_Cs3Hg12H5
_cell_length_a 16.830
_cell_length_b 16.830
_cell_length_c 16.830
_cell_angle_alpha 90.00
_cell_angle_beta 90.00
_cell_angle_gamma 90.00
_space_group_name_H-M_alt 'I a -3 d'
_space_group_IT_number 230
_space_group_name_Hall '-I 4bd 2c 3'
loop_
_atom_site_label
_atom_site_fract_x
_atom_site_fract_y
_atom_site_fract_z
_atom_site_occupancy
Cs1 0.000 0.250 0.125 1
Hg1 0.038 0.134 0.935 1
H1 0.000 0.000 0.000 1
H2 0.000 0.250 0.375 1
# - Final energy: -0.951 eV per atom
# - DOS at the Fermi energy: 71.67 states/eV/cell

# SmDy2Tm4Th | the Alexandria database | PBE | optimized geometry
data_SmDy2Tm4Th
_cell_length_a 5.024
_cell_length_b 5.036
_cell_length_c 9.864
_cell_angle_alpha 90.00
_cell_angle_beta 90.05
_cell_angle_gamma 90.00
_space_group_name_H-M_alt 'P 1 2/m 1'
_space_group_IT_number 10
loop_
_space_group_symop_operation_xyz
'x,y,z'
'-x,-y,-z'
'-x,y,-z'
'x,-y,z'
loop_
_atom_site_label
_atom_site_fract_x
_atom_site_fract_y
_atom_site_fract_z
_atom_site_occupancy
Sm1 0.000 0.000 0.000 1
Dy1 0.000 0.000 0.500 1
Dy2 0.500 0.500 0.000 1
Tm1 0.000 0.500 0.253 1
Tm2 0.500 0.000 0.253 1
Th1 0.500 0.500 0.500 1
# - Final energy: -4.874 eV per atom
# - DOS at the Fermi energy: 11.76 states/eV/cell
# - ΔE_f: 0.03 eV per atom

> Which of these has the highest final energy?

Cs3Hg12H5

> DOS at the Fermi energy of number 2 (Zn4BiAu5)?

2.09 states/eV/cell

> What is the DOS at the Fermi energy in the first record?

38.32 states/eV/cell